Below is a relaxed LiTbGaPt crystal, with properties calculated at the PBE level.

## Properties
Crystal system = cubic
VASP energy = -4.67 eV per atom
Density of states at the Fermi level = 1.12 states/eV per atom
Density = 9.91 g cm⁻³
Total magnetization = 0.00 μB per formula unit
Energy of formation from the pure elements = -762 meV per atom
Calculated volume = 18.04 A^3/atom

Cell and atoms, written as POSCAR:
```
LiTbGaPt
1.0
-2.215 2.353 3.376
-4.149 1.971 -0.862
-3.873 -1.769 1.926
Tb Ga Pt Li
1 1 1 1
direct
0.000 0.000 0.000 Tb
0.500 0.500 0.500 Ga
0.750 0.750 0.750 Pt
0.250 0.250 0.250 Li
```